# CuRe2Pb (PBE, optimized geometry)
# energy of formation = 1.083 eV/atom
# uncorrected energy = -7.09 eV/atom
# total magnetization = 0.00 μB per formula unit
# distance to the lowest polymorph of the same formula = 601 meV/atom
data_CuRe2Pb
_chemical_formula_sum 'Cu2 Re4 Pb2'
_cell_length_a 3.2375
_cell_length_b 4.4818
_cell_length_c 9.6111
_cell_angle_alpha 90.00
_cell_angle_beta 90.00
_cell_angle_gamma 90.00
_space_group_name_H-M_alt 'C m m m'
_space_group_IT_number 65
_space_group_name_Hall '-C 2 2'
loop_
_atom_site_label
_atom_site_type_symbol
_atom_site_fract_x
_atom_site_fract_y
_atom_site_fract_z
_atom_site_occupancy
Cu1 Cu 0.0000 0.0000 0.0000 1
Re1 Re 0.0000 0.5000 0.2125 1
Pb1 Pb 0.0000 0.0000 0.5000 1